{"formula": "Sr2VO5", "functional": "GGA+U", "state": "optimized geometry", "cell": [[3.979, 0.000, 0.000], [-1.989, 6.198, 0.000], [0.000, 0.000, 10.868]], "species": ["O", "O", "O", "V", "O", "O", "O", "O", "Sr", "Sr", "Sr", "O", "V", "O", "O", "Sr"], "frac_coords": [[0.262, 0.524, 0.378], [0.950, 0.900, 0.630], [0.331, 0.662, 0.750], [0.852, 0.705, 0.750], [0.738, 0.476, 0.622], [0.050, 0.100, 0.130], [0.950, 0.900, 0.870], [0.669, 0.338, 0.250], [0.858, 0.717, 0.070], [0.858, 0.717, 0.430], [0.142, 0.283, 0.930], [0.262, 0.524, 0.122], [0.148, 0.295, 0.250], [0.050, 0.100, 0.370], [0.738, 0.476, 0.878], [0.142, 0.283, 0.570]], "spacegroup": "Cmcm, No. 63", "rho_g_cm3": 3.79, "e_tot_ev_per_atom": -6.585}